VASP calculation (PBE) on a relaxed ReMo crystal.

The space group is Fd-3m (No. 227, origin choice 2) and the conventional cell measures 6.274, 6.274 and 6.274 Å, with angles of 90.00, 90.00 and 90.00 degrees. The distinct sites, in fractional coordinates, are Re at (0.125, 0.125, 0.125) and Mo at (0.125, 0.125, 0.625).

The value obtained for the calculated total energy is -11.5470 eV/atom.